a.
Dy2SbH (PBE-GGA, relaxed); size of the total moment = 0.00 μB/atom
1.0
4.097 0.000 0.000
2.048 3.548 0.000
2.048 1.183 6.318
Sb Dy H
1 2 1
direct
0.500 0.500 0.500
0.264 0.264 0.208
0.736 0.736 0.792
0.000 0.000 0.000

b.
Dy2SbH (PBE-GGA, relaxed); size of the total moment = 0.00 μB/atom
1.0
-2.753 -2.434 2.523
3.486 -1.556 2.302
-0.717 6.466 5.458
Dy Sb H
4 2 2
direct
0.201 0.358 0.108
0.701 0.358 0.752
0.701 0.858 0.108
0.201 0.858 0.464
0.701 0.358 0.387
0.201 0.858 0.829
0.701 0.359 0.022
0.201 0.859 0.194

Most favorable structure: b. The second most favorable one is 249 meV per atom above it.

a.
Dy3SbH (PBE-GGA, relaxed); size of the total moment = 0.00 μB/atom
1.0
3.933 0.000 0.000
0.000 6.481 -0.044
0.000 -1.672 9.329
Dy H Sb
6 2 2
direct
0.750 0.591 0.352
0.750 0.233 0.912
0.250 0.905 0.624
0.250 0.767 0.088
0.750 0.095 0.376
0.250 0.409 0.648
0.250 0.826 0.350
0.750 0.174 0.650
0.750 0.719 0.837
0.250 0.281 0.163

b.
Dy3SbH (PBE-GGA, relaxed); size of the total moment = 0.00 μB/atom
1.0
4.773 0.000 0.000
0.000 4.773 0.000
0.000 0.000 4.773
H Dy Sb
1 3 1
direct
0.000 0.000 0.000
0.500 0.000 0.000
0.000 0.000 0.500
0.000 0.500 0.000
0.500 0.500 0.500

Most favorable structure: a. The second most favorable one is 25 meV per atom above it.

a.
DySc2H (PBE-GGA, relaxed); size of the total moment = 0.00 μB/atom
1.0
3.142 0.000 0.000
0.000 3.142 0.000
0.000 0.000 8.088
Sc H Dy
2 1 1
direct
0.000 0.000 0.184
0.000 0.000 0.816
0.500 0.500 0.000
0.500 0.500 0.500

b.
DySc2H (PBE-GGA, relaxed); size of the total moment = 0.00 μB/atom
1.0
-0.415 -0.700 3.163
2.039 -2.066 1.496
5.827 5.887 3.754
H Dy Sc
1 1 2
direct
0.500 0.500 0.500
0.000 0.000 0.000
0.121 0.121 0.636
0.879 0.879 0.364

Most favorable structure: b. The second most favorable one is 193 meV per atom above it.

a.
DyScH2 (PBE-GGA, relaxed); size of the total moment = 0.00 μB/atom
1.0
-2.053 1.461 -2.309
-2.980 -1.466 -0.808
-4.273 2.969 3.148
H Dy Sc
2 1 1
direct
0.128 0.128 0.615
0.872 0.872 0.385
0.000 0.000 0.000
0.500 0.500 0.500

b.
DyScH2 (PBE-GGA, relaxed); size of the total moment = 0.00 μB/atom
1.0
3.343 0.000 0.000
1.672 2.895 0.000
1.672 0.965 5.630
H Sc Dy
2 1 1
direct
0.270 0.270 0.191
0.069 0.069 0.794
0.671 0.671 0.987
0.491 0.491 0.528

Most favorable structure: a. The second most favorable one is 199 meV per atom above it.

a.
Dy2SiH (PBE-GGA, relaxed); size of the total moment = 0.00 μB/atom
1.0
-0.630 -1.854 -3.849
3.377 -0.941 -2.522
1.371 -7.241 0.841
Dy Si H
2 1 1
direct
0.899 0.899 0.304
0.101 0.101 0.696
0.500 0.500 0.500
0.000 0.000 0.000

b.
Dy2SiH (PBE-GGA, relaxed); size of the total moment = 0.00 μB/atom
1.0
-2.831 2.888 0.364
-3.225 -2.430 -5.792
-1.216 -4.553 4.016
H Dy Si
2 4 2
direct
0.000 0.000 0.500
0.500 0.500 0.500
0.383 0.127 0.266
0.117 0.373 0.734
0.617 0.873 0.734
0.883 0.627 0.266
0.750 0.250 0.000
0.250 0.750 0.000

Most favorable structure: b. The second most favorable one is 161 meV per atom above it.

a.
Dy4Si2H (PBE-GGA, relaxed); size of the total moment = 0.00 μB/atom
1.0
-0.523 -2.410 -3.628
-0.258 -3.630 2.449
-8.217 -2.110 -0.065
Si Dy H
2 4 1
direct
0.634 0.634 0.732
0.366 0.366 0.268
0.819 0.819 0.362
0.500 0.000 0.000
0.181 0.181 0.638
0.000 0.500 0.000
0.000 0.000 0.000

b.
Dy4Si2H (PBE-GGA, relaxed); size of the total moment = 0.00 μB/atom
1.0
6.133 0.000 -0.239
0.000 6.381 0.000
-2.530 0.000 8.035
Si Dy H
4 8 2
direct
0.760 0.750 0.572
0.294 0.250 0.955
0.240 0.250 0.428
0.706 0.750 0.045
0.515 0.500 0.266
0.096 0.750 0.911
0.485 0.000 0.734
0.070 0.750 0.379
0.930 0.250 0.621
0.485 0.500 0.734
0.515 0.000 0.266
0.904 0.250 0.089
0.252 0.750 0.190
0.748 0.250 0.810

Most favorable structure: b. The second most favorable one is 27 meV per atom above it.

a.
SmDyH2 (PBE-GGA, relaxed); size of the total moment = 0.00 μB/atom
1.0
-1.884 -2.826 1.003
0.211 -1.177 3.333
-5.039 2.197 2.976
Sm H Dy
1 2 1
direct
0.672 0.672 0.985
0.251 0.251 0.247
0.085 0.085 0.745
0.492 0.492 0.523

b.
SmDyH2 (PBE-GGA, relaxed); size of the total moment = 0.00 μB/atom
1.0
-3.289 -1.186 -0.474
-0.984 -1.263 -3.144
0.241 -6.070 0.383
Sm H Dy
1 2 1
direct
0.000 0.000 0.000
0.754 0.754 0.738
0.246 0.246 0.262
0.500 0.500 0.500

Most favorable structure: b. The second most favorable one is 81 meV per atom above it.

a.
Dy3SnH (PBE-GGA, relaxed); size of the total moment = 0.10 μB/atom
1.0
4.799 0.000 0.000
0.000 4.799 0.000
0.000 0.000 4.799
H Sn Dy
1 1 3
direct
0.000 0.000 0.000
0.500 0.500 0.500
0.000 0.000 0.500
0.500 0.000 0.000
0.000 0.500 0.000

b.
Dy3SnH (PBE-GGA, relaxed); size of the total moment = 0.00 μB/atom
1.0
3.562 0.000 0.000
0.000 6.539 -0.050
0.000 -1.547 10.279
Dy H Sn
6 2 2
direct
0.750 0.084 0.359
0.750 0.225 0.905
0.250 0.402 0.638
0.250 0.775 0.095
0.250 0.916 0.641
0.750 0.598 0.362
0.750 0.173 0.681
0.250 0.827 0.319
0.250 0.292 0.159
0.750 0.708 0.841

Most favorable structure: a. The second most favorable one is 49 meV per atom above it.

a.
Dy4Sn2H (PBE-GGA, relaxed); size of the total moment = 0.00 μB/atom
1.0
-3.995 -4.544 1.687
4.988 -4.064 0.867
2.555 4.705 7.358
Sn H Dy
4 2 8
direct
0.312 0.250 0.969
0.834 0.750 0.598
0.166 0.250 0.402
0.688 0.750 0.031
0.286 0.750 0.202
0.714 0.250 0.798
0.536 0.999 0.293
0.869 0.250 0.059
0.068 0.750 0.352
0.464 0.499 0.707
0.536 0.501 0.293
0.464 0.001 0.707
0.932 0.250 0.648
0.131 0.750 0.941

b.
Dy4Sn2H (PBE-GGA, relaxed); size of the total moment = 0.05 μB/atom
1.0
4.552 0.000 0.000
0.000 4.552 0.000
2.276 2.276 8.369
H Sn Dy
1 2 4
direct
0.000 0.000 0.000
0.637 0.637 0.725
0.363 0.363 0.275
0.823 0.823 0.353
0.177 0.177 0.647
0.500 0.000 0.000
0.000 0.500 0.000

Most favorable structure: a. The second most favorable one is 10 meV per atom above it.

a.
TbDyH2 (PBE-GGA, relaxed); size of the total moment = 0.00 μB/atom
1.0
3.500 0.000 0.000
1.750 3.031 0.000
1.750 1.010 5.860
Tb H Dy
1 2 1
direct
0.491 0.491 0.526
0.259 0.259 0.223
0.079 0.079 0.764
0.671 0.671 0.987

b.
TbDyH2 (PBE-GGA, relaxed); size of the total moment = 0.00 μB/atom
1.0
-0.929 2.712 1.988
-3.376 0.742 0.471
-1.542 -2.226 5.377
Tb H Dy
1 2 1
direct
0.500 0.500 0.500
0.251 0.251 0.248
0.749 0.749 0.752
0.000 0.000 0.000

Most favorable structure: b. The second most favorable one is 80 meV per atom above it.

a.
TbDy2H (PBE-GGA, relaxed); size of the total moment = 0.00 μB/atom
1.0
3.592 0.000 0.000
1.796 3.111 0.000
1.796 1.037 8.479
H Dy Tb
1 2 1
direct
0.000 0.000 0.000
0.279 0.279 0.162
0.721 0.721 0.838
0.500 0.500 0.500

b.
TbDy2H (PBE-GGA, relaxed); size of the total moment = 0.00 μB/atom
1.0
-0.805 -1.872 -2.659
-1.857 -1.983 1.959
-6.738 4.911 -1.417
Dy Tb H
2 1 1
direct
0.000 0.000 0.192
0.000 0.000 0.808
0.500 0.500 0.500
0.500 0.500 0.000

Most favorable structure: a. The second most favorable one is 303 meV per atom above it.

a.
Dy2TcH (PBE-GGA, relaxed); size of the total moment = 0.22 μB/atom
1.0
3.188 0.000 0.000
1.594 2.761 0.000
1.594 0.920 8.297
Dy H Tc
2 1 1
direct
0.106 0.106 0.682
0.894 0.894 0.318
0.500 0.500 0.500
0.000 0.000 0.000

b.
Dy2TcH (PBE-GGA, relaxed); size of the total moment = 0.00 μB/atom
1.0
3.320 0.000 0.000
0.000 3.320 0.000
0.000 0.000 6.954
Dy H Tc
2 1 1
direct
0.000 0.000 0.759
0.000 0.000 0.241
0.500 0.500 0.500
0.500 0.500 0.000

Most favorable structure: b. The second most favorable one is 445 meV per atom above it.

a.
Dy2Te3H (PBE-GGA, relaxed); size of the total moment = 0.00 μB/atom
1.0
-2.472 -1.813 2.640
4.109 -11.414 -3.992
8.400 0.221 8.017
Dy H Te
8 4 12
direct
0.750 0.979 0.702
0.250 0.479 0.798
0.250 0.675 0.440
0.250 0.825 0.940
0.250 0.021 0.298
0.750 0.521 0.202
0.750 0.175 0.060
0.750 0.325 0.560
0.750 0.624 0.362
0.250 0.124 0.138
0.250 0.376 0.638
0.750 0.876 0.862
0.750 0.302 0.824
0.750 0.198 0.324
0.250 0.375 0.068
0.250 0.698 0.176
0.250 0.802 0.676
0.750 0.625 0.932
0.250 0.436 0.386
0.250 0.125 0.568
0.750 0.564 0.614
0.250 0.064 0.886
0.750 0.936 0.114
0.750 0.875 0.432

b.
Dy2Te3H (PBE-GGA, relaxed); size of the total moment = 0.00 μB/atom
1.0
-0.704 -4.313 1.610
3.886 -0.400 7.367
-6.720 1.588 8.055
Te H Dy
6 2 4
direct
0.778 0.824 0.620
0.222 0.176 0.380
0.940 0.867 0.253
0.359 0.279 0.003
0.060 0.133 0.747
0.641 0.721 0.997
0.555 0.511 0.379
0.445 0.489 0.621
0.146 0.540 0.168
0.404 0.742 0.450
0.596 0.258 0.550
0.854 0.460 0.832

Most favorable structure: a. The second most favorable one is 171 meV per atom above it.